(1)
VASP calculation (PBE) on a geometry-optimized Co4Ni5Rh structure.

As for the magnetic moment: 22.7 μB/cell. The relative energy among the computed polymorphs is 0 meV per atom. Its raw total energy is -124.21 eV/cell. The volume is 12.324 A^3/atom. For the density of states at the Fermi level, the calculation gives 19.11 states/eV per cell.

abc: 4.1944 7.1949 8.1672
angles: 90.00 90.00 90.00
Element x y z (fractional)
Co 0.2605 0.5000 0.2402
Ni 0.7533 0.6717 0.2326
Ni 0.7533 0.3283 0.7674
Ni 0.7533 0.6717 0.7674
Ni 0.2467 0.1717 0.2674
Co 0.3963 0.3020 0.0000
Co 0.7395 0.0000 0.7402
Co 0.6037 0.1980 0.5000
Ni 0.2467 0.8283 0.2674
Co 0.7395 0.0000 0.2598
Rh 0.9231 0.5000 0.5000
Ni 0.2467 0.8283 0.7326
Co 0.6037 0.8020 0.5000
Ni 0.2467 0.1717 0.7326
Co 0.2605 0.5000 0.7598
Ni 0.7533 0.3283 0.2326
Ni 0.9203 0.5000 0.0000
Rh 0.0769 0.0000 0.0000
Co 0.3963 0.6980 0.0000
Ni 0.0797 0.0000 0.5000

=====

(2)
VASP calculation (PBE) on a geometry-optimized TaAsPb3 structure.

As for the magnetic moment: 2.9 μB/cell. The relative energy among the computed polymorphs is 493 meV per atom. Its raw total energy is -20.95 eV/cell. The volume is 32.791 A^3/atom. For the density of states at the Fermi level, the calculation gives 5.14 states/eV per cell.

abc: 5.4732 5.4732 5.4732
angles: 90.00 90.00 90.00
Element x y z (fractional)
Pb 0.0000 0.5000 0.0000
Pb 0.5000 0.0000 0.0000
Pb 0.0000 0.0000 0.5000
Ta 0.5000 0.5000 0.5000
As 0.0000 0.0000 0.0000

=====

(3)
VASP calculation (PBE) on a geometry-optimized Cr2PtS structure.

As for the magnetic moment: 8.0 μB/cell. The calculation puts the formation energy from raw total energies at 0.109 eV per atom. Its raw total energy is -57.96 eV/cell. The volume is 14.215 A^3/atom. For the density of states at the Fermi level, the calculation gives 5.46 states/eV per cell.

abc: 6.6228 6.6228 5.3529
angles: 51.78 51.78 90.00
Element x y z (fractional)
Cr 0.3750 0.4225 0.7500
Cr 0.5775 0.1250 0.2500
S 0.5000 0.5000 0.0000
S 0.2500 0.7500 0.5000
Cr 0.8750 0.8275 0.7500
Cr 0.1725 0.6250 0.2500
Pt 0.7500 0.2500 0.5000
Pt 0.0000 0.0000 0.0000

=====

(4)
VASP calculation (PBE) on a geometry-optimized RbTl10Cd2 structure.

As for the magnetic moment: 0.0 μB/cell. Its raw total energy is -26.61 eV/cell. The volume is 31.703 A^3/atom. For the density of states at the Fermi level, the calculation gives 6.70 states/eV per cell.

abc: 6.3379 8.7044 8.6244
angles: 82.31 68.44 68.65
Element x y z (fractional)
Tl 0.3576 0.6375 0.6473
Tl 0.9951 0.3625 0.6473
Tl 0.7137 0.7796 0.7929
Tl 0.5000 0.0000 0.5000
Rb 0.0000 0.0000 0.0000
Tl 0.2863 0.2204 0.2071
Tl 0.0000 0.0000 0.5000
Tl 0.0049 0.6375 0.3527
Tl 0.6424 0.3625 0.3527
Cd 0.0000 0.5000 0.0000
Tl 0.5066 0.7796 0.2071
Cd 0.5000 0.5000 0.0000
Tl 0.4934 0.2204 0.7929

=====

(5)
VASP calculation (PBE) on a geometry-optimized Pr4Y3ThTe8 structure.

As for the magnetic moment: 0.0 μB/cell. The calculation puts the formation energy from raw total energies at -1.332 eV per atom. Its raw total energy is -92.38 eV/cell. The volume is 31.460 A^3/atom. For the density of states at the Fermi level, the calculation gives 13.03 states/eV per cell.

abc: 8.8930 8.9654 8.8941
angles: 119.75 120.00 90.00
Element x y z (fractional)
Te 0.7510 0.2607 0.5019
Te 0.7412 0.7394 0.9903
Te 0.7509 0.2606 0.0097
Te 0.2588 0.2606 0.0097
Te 0.2491 0.7394 0.9903
Y 0.5000 0.5000 0.5000
Te 0.2548 0.2644 0.5096
Te 0.2490 0.7393 0.4981
Pr 0.5000 0.0000 0.5000
Te 0.7452 0.7356 0.4904
Th 0.0000 0.5000 0.0000
Pr 0.0000 0.0000 0.0000
Y 0.0000 0.5000 0.5000
Pr 0.5000 0.0000 0.0000
Y 0.5000 0.5000 0.0000
Pr 0.0000 0.0000 0.5000